Here is a geometry-optimized Tl2InCl2 structure from Alexandria via LeMat-Bulk. Energies are from PBE.

Output
total energy: -0.210 Ry per atom
space group: P4/mbm, No. 127
energy relative to the elements, uncorrected: -623 meV per atom
energy relative to the lowest polymorph listed for this composition: 0 meV per atom

a b c (Å): 8.478 8.478 4.370
angles (deg): 90.00 90.00 90.00
Positions (direct):
1 Tl 0.161 0.339 0.000
2 Tl 0.339 0.839 0.000
3 Tl 0.661 0.161 0.000
4 Tl 0.839 0.661 0.000
5 In 0.000 0.000 0.500
6 In 0.500 0.500 0.500
7 Cl 0.153 0.653 0.500
8 Cl 0.347 0.153 0.500
9 Cl 0.653 0.847 0.500
10 Cl 0.847 0.347 0.500